! TbPr5Ho2Er | the Alexandria database | PBE-GGA | relaxed; values from VASP
! Volume (Å³ per cell): 626.4
! ΔE_f (eV per atom): 0.141
! ρ (g/cm3): 7.21
&SYSTEM
  ibrav = 0, nat = 18, ntyp = 4
/
ATOMIC_SPECIES
Tb 158.93 Tb.upf
Pr 140.91 Pr.upf
Ho 164.93 Ho.upf
Er 167.26 Er.upf
CELL_PARAMETERS angstrom
5.6565 0.0000 0.0000
-2.8282 10.2955 0.0000
0.0000 0.0000 10.7568
ATOMIC_POSITIONS crystal
Tb 0.8016 0.6033 0.5109
Tb 0.1984 0.3967 0.0109
Pr 0.3831 0.7662 0.0206
Pr 0.7207 0.4415 0.8133
Pr 0.4847 0.9695 0.7450
Pr 0.2960 0.5921 0.7064
Pr 0.9851 0.9701 0.5159
Pr 0.6169 0.2338 0.5206
Pr 0.2793 0.5585 0.3133
Pr 0.5153 0.0305 0.2450
Pr 0.7040 0.4079 0.2064
Pr 0.0149 0.0299 0.0159
Ho 0.8859 0.7718 0.8058
Ho 0.1125 0.2249 0.7404
Ho 0.1141 0.2282 0.3058
Ho 0.8875 0.7751 0.2404
Er 0.5934 0.1867 0.9658
Er 0.4066 0.8133 0.4658